# 1
Material: NaTa2AuF
Method: DFT, GGA-PBE
State: optimized geometry

Cell and atoms, written as CIF:
```
data_NaTa2AuF
_symmetry_space_group_name_H-M 'P 1'
_symmetry_Int_Tables_number 1
_cell_length_a 4.197
_cell_length_b 5.250
_cell_length_c 4.197
_cell_angle_alpha 90.00
_cell_angle_beta 90.00
_cell_angle_gamma 90.00
loop_
_symmetry_equiv_pos_as_xyz
'x,y,z'
loop_
_atom_site_label
_atom_site_type_symbol
_atom_site_fract_x
_atom_site_fract_y
_atom_site_fract_z
Na1 Na 0.500 0.500 0.500
F1 F 0.000 0.000 0.000
Au1 Au 0.000 0.500 0.000
Ta1 Ta 0.000 0.000 0.500
Ta2 Ta 0.500 0.000 0.000
```

As for the raw formation energy: 0.341 eV/atom. Its symmetry is No. 123.

# 2
Material: Na2TlAuF
Method: DFT, GGA-PBE
State: optimized geometry

Cell and atoms, written as CIF:
```
data_Na2TlAuF
_symmetry_space_group_name_H-M 'P 1'
_symmetry_Int_Tables_number 1
_cell_length_a 4.425
_cell_length_b 4.425
_cell_length_c 5.605
_cell_angle_alpha 90.00
_cell_angle_beta 90.00
_cell_angle_gamma 90.00
loop_
_symmetry_equiv_pos_as_xyz
'x,y,z'
loop_
_atom_site_label
_atom_site_type_symbol
_atom_site_fract_x
_atom_site_fract_y
_atom_site_fract_z
Na1 Na 0.000 0.500 0.000
Na2 Na 0.500 0.000 0.000
Tl1 Tl 0.000 0.000 0.500
Au1 Au 0.500 0.500 0.500
F1 F 0.000 0.000 0.000
```

As for the raw formation energy: -1.041 eV/atom. Its symmetry is No. 123.